No. 1
Computed, not measured: an optimized crystal structure of SrLa2Tb at the GGA-PBE level of DFT.

For the total energy, the calculation gives -3.876 eV per atom. As for the energy above the lowest structure with this stoichiometry: 79 meV per atom. Its mass density is 5.5 g/cm3. As for the density of states at the Fermi level: 1.59 states/eV/atom.

The structure belongs to space group R-3m (No. 166, hexagonal axes); the cell edges are 3.7087, 3.7087 and 39.6923 Å and the angles 90.00°, 90.00° and 120.00°. The distinct sites, in fractional coordinates, are Sr at (0.0000, 0.0000, 0.0000), La at (0.0000, 0.0000, 0.0931) and Tb at (0.0000, 0.0000, 0.5000).


No. 2
Computed, not measured: an optimized crystal structure of Pr8As3S4Br at the GGA-PBE level of DFT.

For the total energy, the calculation gives -6.152 eV per atom. Its formation energy from raw total energies is -1.754 eV/atom. Its mass density is 6.1 g/cm3. As for the density of states at the Fermi level: 0.50 states/eV/atom.

The structure belongs to space group R-3m (No. 166, hexagonal axes); the cell edges are 8.4500, 8.4500 and 20.5872 Å and the angles 90.00°, 90.00° and 120.00°. The distinct sites, in fractional coordinates, are Pr at (0.0000, 0.0000, 0.2495), Pr at (0.0195, 0.5098, 0.2442), As at (0.0000, 0.5000, 0.0000), S at (0.0000, 0.0000, 0.5000), S at (0.0000, 0.5000, 0.5000) and Br at (0.0000, 0.0000, 0.0000).


No. 3
Computed, not measured: an optimized crystal structure of Sb2Pb4I3 at the GGA-PBE level of DFT.

For the total energy, the calculation gives -3.354 eV per atom. Its formation energy from raw total energies is -0.273 eV/atom. Its mass density is 6.9 g/cm3. As for the density of states at the Fermi level: 0.57 states/eV/atom.

The structure belongs to space group C2/m (No. 12); the cell edges are 7.938, 4.583 and 19.234 Å and the angles 90.00°, 90.04° and 90.00°. The distinct sites, in fractional coordinates, are Sb at (0.167, 0.000, 0.206), Pb at (0.001, 0.500, 0.306), Pb at (0.166, 0.000, 0.877), I at (0.000, 0.500, 0.000) and I at (0.166, 0.000, 0.593).


No. 4
Computed, not measured: an optimized crystal structure of NaLaMo2H at the GGA-PBE level of DFT.

For the total energy, the calculation gives -5.635 eV per atom. Its mass density is 6.9 g/cm3. As for the density of states at the Fermi level: 0.78 states/eV/atom.

The structure belongs to space group P4/mmm (No. 123); the cell edges are 4.075, 4.075 and 5.154 Å and the angles 90.00°, 90.00° and 90.00°. The distinct sites, in fractional coordinates, are Na at (0.000, 0.000, 0.000), La at (0.500, 0.500, 0.000), Mo at (0.000, 0.500, 0.500) and H at (0.000, 0.000, 0.500).


No. 5
Computed, not measured: an optimized crystal structure of Er3Ga4Cu4 at the GGA-PBE level of DFT.

For the total energy, the calculation gives -4.285 eV per atom. As for the energy above the lowest structure with this stoichiometry: 0 meV per atom. Its mass density is 8.7 g/cm3. As for the density of states at the Fermi level: 0.78 states/eV/atom.

The structure belongs to space group Immm (No. 71); the cell edges are 4.216, 6.768 and 13.815 Å and the angles 90.00°, 90.00° and 90.00°. The distinct sites, in fractional coordinates, are Er at (0.000, 0.000, 0.000), Er at (0.000, 0.500, 0.129), Ga at (0.000, 0.000, 0.219), Ga at (0.000, 0.188, 0.500) and Cu at (0.000, 0.313, 0.329).


No. 6
Computed, not measured: an optimized crystal structure of Zr2GaSb at the GGA-PBE level of DFT.

For the total energy, the calculation gives -5.663 eV per atom. Its formation energy from raw total energies is 0.398 eV/atom. Its mass density is 4.9 g/cm3. As for the density of states at the Fermi level: 0.33 states/eV/atom.

The structure belongs to space group I-42d (No. 122); the cell edges are 6.033, 6.033 and 13.840 Å and the angles 90.00°, 90.00° and 90.00°. The distinct sites, in fractional coordinates, are Zr at (0.215, 0.250, 0.125), Ga at (0.000, 0.000, 0.000) and Sb at (0.000, 0.000, 0.500).


- Which value of mass density does entry 3 give?
  6.9 g/cm3


- What is the formula in the fifth record?
  Er3Ga4Cu4


- The highest mass density belongs to which entry?
  Er3Ga4Cu4


- Which value of mass density does entry 4 give?
  6.9 g/cm3